Record 1
# TlOsIO6

Crystalline TlOsIO6 at its relaxed geometry (PBE-GGA, the Alexandria database).

Results
Total DFT energy (no corrections) in eV for the cell shown: -50.533
Crystal system: monoclinic
Formation energy without anion corrections in eV per formula unit: -5.6

extended XYZ file:
```
9
Lattice="2.692 -4.674 0.000 2.692 4.674 0.000 -0.003 0.000 6.182" Properties=species:S:1:pos:R:3 pbc="T T T"
Tl 0.000 0.000 0.000
Os 2.690 -1.556 3.091
I 2.690 1.558 3.091
O 1.063 -1.737 1.996
O 2.038 -0.064 4.189
O 1.720 -2.877 4.187
O 3.342 -0.064 1.993
O 3.660 -2.877 1.995
O 4.318 -1.737 4.186
```

---

Record 2
# Mg2PRh

Crystalline Mg2PRh at its relaxed geometry (PBE-GGA, the Alexandria database).

Results
Total DFT energy (no corrections) in eV for the cell shown: -35.845
Crystal system: orthorhombic
E_form in kcal/mol of atoms: -11.368

extended XYZ file:
```
8
Lattice="3.175 0.000 0.000 0.000 4.337 0.000 0.000 0.000 9.830" Properties=species:S:1:pos:R:3 pbc="T T T"
Mg 0.000 0.000 0.000
Mg 0.000 2.169 2.062
Mg 1.588 0.000 6.977
Mg 1.588 2.169 4.915
P 0.000 2.169 7.587
P 1.588 0.000 2.672
Rh 0.000 0.000 4.366
Rh 1.588 2.169 9.281
```

---

Record 3
# K2Rb5Cd4

Crystalline K2Rb5Cd4 at its relaxed geometry (PBE-GGA, the Alexandria database).

Results
Total DFT energy (no corrections) in eV for the cell shown: -10.480
Energy above the lowest structure with this stoichiometry in eV per atom: 0.000
Crystal system: monoclinic
E_form in kcal/mol of atoms: 0.447

extended XYZ file:
```
11
Lattice="13.852 -2.488 0.000 13.852 2.488 0.000 -1.597 0.000 9.552" Properties=species:S:1:pos:R:3 pbc="T T T"
K 5.912 0.000 1.576
K 20.193 0.000 7.976
Rb -0.799 0.000 4.776
Rb 8.757 0.000 5.067
Rb 10.869 0.000 0.895
Rb 15.237 0.000 8.657
Rb 17.349 0.000 4.484
Cd 2.113 0.000 1.916
Cd 11.726 0.000 7.563
Cd 14.380 0.000 1.989
Cd 23.993 0.000 7.635
```

---

Record 4
# LiBi4Pd

Crystalline LiBi4Pd at its relaxed geometry (PBE-GGA, the Alexandria database).

Results
Total DFT energy (no corrections) in eV for the cell shown: -23.839
Energy above the lowest structure with this stoichiometry in eV per atom: 0.010
Crystal system: monoclinic
E_form in kcal/mol of atoms: -4.644

extended XYZ file:
```
6
Lattice="4.755 0.000 0.000 0.000 4.673 0.000 -1.939 0.000 7.075" Properties=species:S:1:pos:R:3 pbc="T T T"
Li 0.000 0.000 0.000
Bi -0.070 2.337 1.977
Bi 0.480 0.000 5.203
Bi 2.336 0.000 1.872
Bi 2.886 2.337 5.098
Pd 2.378 2.337 0.000
```

---

Record 5
# Ac6GaN2

Crystalline Ac6GaN2 at its relaxed geometry (PBE-GGA, the Alexandria database).

Results
Total DFT energy (no corrections) in eV for the cell shown: -49.005
Crystal system: monoclinic
Formation energy without anion corrections in eV per formula unit: -4.7

extended XYZ file:
```
9
Lattice="3.998 -4.000 0.000 3.998 4.000 0.000 -3.983 0.000 8.775" Properties=species:S:1:pos:R:3 pbc="T T T"
Ac 0.014 1.999 6.267
Ac -1.982 0.000 8.743
Ac 4.000 1.999 2.508
Ac 0.014 -1.999 6.267
Ac 5.996 0.000 0.032
Ac 4.000 -1.999 2.508
Ga -1.991 0.000 4.388
N 3.998 2.000 0.000
N 3.998 -2.000 0.000
```

---

Record 6
# Sr2LaTc

Crystalline Sr2LaTc at its relaxed geometry (PBE-GGA, the Alexandria database).

Results
Total DFT energy (no corrections) in eV for the cell shown: -17.392
Energy above the lowest structure with this stoichiometry in eV per atom: 0.000
Crystal system: tetragonal
E_form in kcal/mol of atoms: 7.296

extended XYZ file:
```
4
Lattice="3.709 0.000 0.000 0.000 3.709 0.000 0.000 0.000 10.014" Properties=species:S:1:pos:R:3 pbc="T T T"
Sr 0.000 0.000 0.000
Sr 1.855 1.855 3.479
La 1.855 1.855 6.928
Tc 0.000 0.000 5.560
```

---

Record 7
# Al2Cr2Cu

Crystalline Al2Cr2Cu at its relaxed geometry (PBE-GGA, the Alexandria database).

Results
Total DFT energy (no corrections) in eV for the cell shown: -60.048
Energy above the lowest structure with this stoichiometry in eV per atom: 0.000
Crystal system: tetragonal
E_form in kcal/mol of atoms: 3.708

extended XYZ file:
```
10
Lattice="6.639 0.000 0.000 0.000 6.639 0.000 0.000 0.000 3.161" Properties=species:S:1:pos:R:3 pbc="T T T"
Al 1.248 2.071 0.000
Al 2.071 5.391 0.000
Al 4.568 1.248 0.000
Al 5.391 4.568 0.000
Cr 0.712 4.031 1.580
Cr 2.608 0.712 1.580
Cr 4.031 5.927 1.580
Cr 5.927 2.608 1.580
Cu 0.000 0.000 1.580
Cu 3.319 3.319 1.580
```

---

Record 8
# SmZn12Pd6

Crystalline SmZn12Pd6 at its relaxed geometry (PBE-GGA, the Alexandria database).

Results
Total DFT energy (no corrections) in eV for the cell shown: -57.383
Crystal system: trigonal
E_form in kcal/mol of atoms: -7.549

extended XYZ file:
```
19
Lattice="5.685 3.282 2.875 -5.685 3.282 2.875 0.000 -6.564 2.875" Properties=species:S:1:pos:R:3 pbc="T T T"
Sm 0.000 0.000 0.000
Zn -2.212 -3.831 4.313
Zn -4.423 0.000 4.313
Zn -1.441 -0.832 2.618
Zn 1.441 -0.832 2.618
Zn 0.000 1.663 2.618
Zn 2.212 -3.831 4.313
Zn -2.212 3.831 4.313
Zn 0.000 -1.663 6.007
Zn -1.441 0.832 6.007
Zn 1.441 0.832 6.007
Zn 4.423 0.000 4.313
Zn 2.212 3.831 4.313
Pd 0.000 -2.782 3.649
Pd -2.409 1.391 3.649
Pd -2.409 -1.391 4.976
Pd 2.409 1.391 3.649
Pd 2.409 -1.391 4.976
Pd 0.000 2.782 4.976
```

---

Record 9
# Dy3Er5Tm

Crystalline Dy3Er5Tm at its relaxed geometry (PBE-GGA, the Alexandria database).

Results
Total DFT energy (no corrections) in eV for the cell shown: -78.826
Energy above the lowest structure with this stoichiometry in eV per atom: 0.000
Crystal system: monoclinic
E_form in kcal/mol of atoms: 4.303

extended XYZ file:
```
18
Lattice="8.047 -3.314 0.000 8.047 3.314 0.000 -3.535 0.000 10.626" Properties=species:S:1:pos:R:3 pbc="T T T"
Dy 0.000 0.000 0.000
Dy -1.768 0.000 5.313
Dy 2.944 0.054 10.147
Dy 4.711 -0.054 4.834
Dy 7.848 0.054 5.792
Dy 9.616 -0.054 0.479
Er 1.515 0.793 3.986
Er 3.748 0.823 1.549
Er 7.163 1.827 2.657
Er -0.253 -0.793 9.299
Er 1.980 -0.823 6.862
Er 10.579 0.823 3.765
Er 12.812 0.793 1.327
Er 5.396 -1.827 7.970
Er 8.811 -0.823 9.078
Er 11.045 -0.793 6.640
Tm 5.396 1.215 7.970
Tm 7.163 -1.215 2.657
```

---

Record 10
# Tb3Sm2Tm5

Crystalline Tb3Sm2Tm5 at its relaxed geometry (PBE-GGA, the Alexandria database).

Results
Total DFT energy (no corrections) in eV for the cell shown: -87.454
Energy above the lowest structure with this stoichiometry in eV per atom: 0.000
Crystal system: monoclinic
E_form in kcal/mol of atoms: 4.519

extended XYZ file:
```
20
Lattice="5.280 -7.860 0.000 5.280 7.860 0.000 -5.254 0.000 7.763" Properties=species:S:1:pos:R:3 pbc="T T T"
Tb 1.390 1.907 0.383
Tb 1.340 4.269 5.822
Tb -1.237 -1.907 4.265
Tb 6.544 1.907 3.499
Tb 3.967 -4.269 1.941
Tb 3.917 -1.907 7.380
Sm 1.392 1.961 3.509
Sm -1.235 -1.961 7.391
Sm 6.542 1.961 0.372
Sm 3.915 -1.961 4.254
Tm 1.340 7.436 5.822
Tm -1.325 1.848 5.635
Tm 3.967 3.633 1.941
Tm 1.302 -1.848 1.753
Tm 3.967 0.359 1.941
Tm 1.340 -0.359 5.822
Tm 4.005 1.848 6.010
Tm 1.340 -3.633 5.822
Tm 6.632 -1.848 2.128
Tm 3.967 -7.436 1.941
```

---

Record 11
# CeGaC

Crystalline CeGaC at its relaxed geometry (PBE-GGA, the Alexandria database).

Results
Total DFT energy (no corrections) in eV for the cell shown: -18.216
Energy above the lowest structure with this stoichiometry in eV per atom: 0.375
Crystal system: trigonal
E_form in kcal/mol of atoms: -0.244

extended XYZ file:
```
3
Lattice="3.490 0.000 0.000 -1.745 3.022 0.000 0.000 0.000 5.013" Properties=species:S:1:pos:R:3 pbc="T T T"
Ce 0.000 0.000 0.000
Ga 1.745 1.007 2.590
C 0.000 2.015 3.559
```